The following is a DFT calculation (PBE-GGA) of a relaxed structure of Hf2ReIr2.

## Properties
Energy of formation   -0.4333 eV per atom
Fermi-level density of states   12.9 states/eV/cell
Uncorrected energy   -0.7680 Ry per atom

```
data_Hf2ReIr2
_cell_length_a 6.667
_cell_length_b 6.667
_cell_length_c 4.068
_cell_angle_alpha 90.00
_cell_angle_beta 90.00
_cell_angle_gamma 90.00
_symmetry_space_group_name_H-M 'P 4/m b m'
_symmetry_Int_Tables_number 127
_symmetry_space_group_name_Hall '-P 4 2ab'
loop_
_atom_site_label
_atom_site_fract_x
_atom_site_fract_y
_atom_site_fract_z
_atom_site_occupancy
Hf1 0.176 0.324 0.000 1
Re1 0.000 0.000 0.500 1
Ir1 0.135 0.635 0.500 1
```


The following is a DFT calculation (PBE-GGA) of a relaxed structure of Hf2ReIr.

## Properties
Polymorph energy (0 for the lowest one)   0.0 meV/atom
Energy of formation   -0.7421 eV per atom
Fermi-level density of states   2.2 states/eV/cell
Uncorrected energy   -0.8119 Ry per atom

```
data_Hf2ReIr
_cell_length_a 6.535
_cell_length_b 6.535
_cell_length_c 6.535
_cell_angle_alpha 90.00
_cell_angle_beta 90.00
_cell_angle_gamma 90.00
_symmetry_space_group_name_H-M 'F m -3 m'
_symmetry_Int_Tables_number 225
_symmetry_space_group_name_Hall '-F 4 2 3'
loop_
_atom_site_label
_atom_site_fract_x
_atom_site_fract_y
_atom_site_fract_z
_atom_site_occupancy
Hf1 0.250 0.250 0.250 1
Re1 0.000 0.000 0.000 1
Ir1 0.000 0.000 0.500 1
```


| no. | density (g cm⁻³) |
| --- | --- |
| 1 | 17.033 |
| 2 | 17.500 |